Density functional theory data (PBE-GGA) for MnMo3Cl after structural relaxation.

a b c (Å): 4.3503 4.3503 4.3503
angles (deg): 90.00 90.00 90.00
Atoms (fractional coordinates):
Mo: 0.5000 0.0000 0.0000
Mo: 0.0000 0.5000 0.0000
Mo: 0.0000 0.0000 0.5000
Mn: 0.5000 0.5000 0.5000
Cl: 0.0000 0.0000 0.0000

As for the space-group type: Pm-3m, No. 221. The energy relative to the elements, uncorrected is 1377 meV/atom. The value obtained for the energy relative to the lowest polymorph listed for this composition is 0 meV/atom.

=====

Density functional theory data (PBE-GGA) for Sr2Li6N3 after structural relaxation.

a b c (Å): 3.6079 6.9760 6.9760
angles (deg): 120.00 90.00 90.00
Atoms (fractional coordinates):
Li: 0.0000 0.2391 0.2391
Li: 0.0000 0.7609 0.0000
Li: 0.5000 0.7468 0.7468
Li: 0.5000 0.2532 0.0000
Li: 0.5000 0.0000 0.2532
Li: 0.0000 0.0000 0.7609
N: 0.5000 0.0000 0.6557
N: 0.5000 0.6557 0.0000
N: 0.5000 0.3443 0.3443
Sr: 0.0000 0.6667 0.3333
Sr: 0.0000 0.3333 0.6667

As for the space-group type: P-62m, No. 189. The energy relative to the elements, uncorrected is -218 meV/atom.

=====

Density functional theory data (PBE-GGA) for AcSnBiPb after structural relaxation.

a b c (Å): 5.7329 5.7329 5.7329
angles (deg): 60.00 60.00 60.00
Atoms (fractional coordinates):
Sn: 0.2500 0.2500 0.2500
Ac: 0.0000 0.0000 0.0000
Bi: 0.7500 0.7500 0.7500
Pb: 0.5000 0.5000 0.5000

As for the space-group type: F-43m, No. 216. The value obtained for the energy relative to the lowest polymorph listed for this composition is 153 meV/atom.

=====

Density functional theory data (PBE-GGA) for YCr2P after structural relaxation.

a b c (Å): 2.9435 2.9435 7.7704
angles (deg): 90.00 90.00 109.77
Atoms (fractional coordinates):
Cr: 0.0000 0.0000 0.4401
Cr: 0.0000 0.0000 0.0599
P: 0.5000 0.5000 0.2500
Y: 0.5000 0.5000 0.7500

As for the space-group type: Cmmm, No. 65.

=====

Number 1: E_tot -36.6 eV for the cell shown. Number 2: E_tot -42.2 eV for the cell shown. Number 3: E_tot -17.0 eV for the cell shown. Number 4: E_tot -29.8 eV for the cell shown.